Run w
Compound: PrTmScZn
Source: Alexandria via LeMat-Bulk
Functional: PBE
Structure: optimized geometry Values from VASP.

Cell and atoms, written as Quantum ESPRESSO input:
```
&SYSTEM
  ibrav = 0, nat = 4, ntyp = 4
/
ATOMIC_SPECIES
Pr 140.91 Pr.upf
Tm 168.93 Tm.upf
Sc 44.96 Sc.upf
Zn 65.41 Zn.upf
ATOMIC_POSITIONS angstrom
Pr 0.579 0.121 0.400
Tm 4.331 3.188 4.545
Sc 1.595 2.616 2.654
Zn 3.855 0.805 2.664
CELL_PARAMETERS angstrom
-0.002 3.329 -1.003
-2.035 0.812 2.700
6.946 1.451 4.800
```

Computed properties:
Space group = P4mm (99)
N(E_F) = 4.3 states/eV/cell

***

Run x
Compound: PrTmScZn
Source: Alexandria via LeMat-Bulk
Functional: PBE
Structure: optimized geometry Values from VASP.

Cell and atoms, written as Quantum ESPRESSO input:
```
&SYSTEM
  ibrav = 0, nat = 4, ntyp = 4
/
ATOMIC_SPECIES
Pr 140.91 Pr.upf
Sc 44.96 Sc.upf
Zn 65.41 Zn.upf
Tm 168.93 Tm.upf
ATOMIC_POSITIONS angstrom
Pr 2.637 1.522 1.076
Sc 0.000 0.000 0.000
Zn 5.273 3.044 2.153
Tm 7.910 4.567 3.229
CELL_PARAMETERS angstrom
5.273 0.000 0.000
2.637 4.567 0.000
2.637 1.522 4.305
```

Computed properties:
Space group = F-43m (216)
N(E_F) = 4.6 states/eV/cell

***

Stability comparison, relative energies in eV/atom: run w 0.000; run x 0.157